1.
DFT (PBE-GGA) results for an optimized crystal structure of Tm3Ga6Pd20.

Summary:
* E_form: -0.675 eV/atom
* E: -5.345 eV per atom
* size of the total moment: 0.00 μB/f.u.
* calculated density: 10.491 g cm⁻³

a = 8.8088 Å, b = 8.8088 Å, c = 8.8088 Å
α = 60.00°, β = 60.00°, γ = 60.00°
Sites, in units of the cell vectors:
Tm 0.7500 0.7500 0.7500
Tm 0.2500 0.2500 0.2500
Tm 0.0000 0.0000 0.0000
Ga 0.2750 0.7250 0.7250
Ga 0.7250 0.2750 0.2750
Ga 0.2750 0.2750 0.7250
Ga 0.7250 0.2750 0.7250
Ga 0.2750 0.7250 0.2750
Ga 0.7250 0.7250 0.2750
Pd 0.3768 0.3768 0.8697
Pd 0.1303 0.6232 0.6232
Pd 0.6574 0.0000 0.0000
Pd 0.6574 0.3426 0.0000
Pd 0.0000 0.0000 0.6574
Pd 0.3768 0.8697 0.3768
Pd 0.0000 0.3426 0.6574
Pd 0.6574 0.0000 0.3426
Pd 0.0000 0.6574 0.0000
Pd 0.0000 0.0000 0.3426
Pd 0.3426 0.0000 0.6574
Pd 0.0000 0.3426 0.0000
Pd 0.3426 0.6574 0.0000
Pd 0.3426 0.0000 0.0000
Pd 0.3768 0.3768 0.3768
Pd 0.6232 0.6232 0.1303
Pd 0.6232 0.6232 0.6232
Pd 0.6232 0.1303 0.6232
Pd 0.8697 0.3768 0.3768
Pd 0.0000 0.6574 0.3426

---

2.
DFT (PBE-GGA) results for an optimized crystal structure of CaHg4.

Summary:
* polymorph energy (0 for the lowest one): 0.0000 eV per atom
* E_form: -0.293 eV/atom
* E: -0.935 eV per atom
* size of the total moment: 0.00 μB/f.u.
* calculated density: 10.971 g cm⁻³

a = 4.9769 Å, b = 5.6425 Å, c = 5.6380 Å
α = 78.74°, β = 63.81°, γ = 63.83°
Sites, in units of the cell vectors:
Ca 0.0000 0.0000 0.0000
Hg 0.7973 0.7882 0.6173
Hg 0.2027 0.2118 0.3827
Hg 0.4146 0.3829 0.7878
Hg 0.5854 0.6171 0.2122

---

3.
DFT (PBE-GGA) results for an optimized crystal structure of SrFeTe2H.

Summary:
* E: -3.553 eV per atom
* size of the total moment: 0.07 μB/f.u.
* calculated density: 6.314 g cm⁻³

a = 5.0083 Å, b = 4.1905 Å, c = 5.0083 Å
α = 90.00°, β = 90.00°, γ = 90.00°
Each line ends with the local moment (μB).
Sites, in units of the cell vectors:
Sr 0.0000 0.5000 0.0000  0.01
Te 0.0000 0.0000 0.5000  -0.02
Te 0.5000 0.0000 0.0000  -0.02
Fe 0.5000 0.5000 0.5000  -0.05
H 0.0000 0.0000 0.0000  0.00

---

4.
DFT (PBE-GGA) results for an optimized crystal structure of DyYTi4.

Summary:
* E_form: 0.238 eV/atom
* E: -6.870 eV per atom
* size of the total moment: 9.58 μB/f.u.
* calculated density: 5.302 g cm⁻³

a = 5.8105 Å, b = 5.8105 Å, c = 5.8105 Å
α = 60.00°, β = 60.00°, γ = 60.00°
Each line ends with the local moment (μB).
Sites, in units of the cell vectors:
Y 0.0000 0.0000 0.0000  0.49
Ti 0.6250 0.6250 0.1249  1.35
Ti 0.6250 0.1249 0.6250  1.35
Ti 0.6250 0.6250 0.6250  1.35
Ti 0.1249 0.6250 0.6250  1.35
Dy 0.2500 0.2500 0.2500  0.72

---

5.
DFT (PBE-GGA) results for an optimized crystal structure of Hf2TeI.

Summary:
* polymorph energy (0 for the lowest one): 0.0000 eV per atom
* E: -6.303 eV per atom
* size of the total moment: 0.00 μB/f.u.
* calculated density: 11.355 g cm⁻³
* formation energy without anion corrections: -0.6 eV per formula unit

a = 5.0194 Å, b = 5.0194 Å, c = 5.0194 Å
α = 60.00°, β = 60.00°, γ = 60.00°
Sites, in units of the cell vectors:
I 0.5000 0.5000 0.5000
Te 0.0000 0.0000 0.0000
Hf 0.2500 0.2500 0.2500
Hf 0.7500 0.7500 0.7500

---

6.
DFT (PBE-GGA) results for an optimized crystal structure of Ag3I8.

Summary:
* E: -1.901 eV per atom
* size of the total moment: 0.00 μB/f.u.
* calculated density: 5.048 g cm⁻³
* formation energy without anion corrections: 0.0 eV per formula unit

a = 8.1874 Å, b = 8.1874 Å, c = 8.1874 Å
α = 66.24°, β = 66.24°, γ = 66.24°
Sites, in units of the cell vectors:
Ag 0.5000 0.0000 0.5000
Ag 0.0000 0.5000 0.5000
Ag 0.5000 0.5000 0.0000
I 0.9060 0.4323 0.9286
I 0.4323 0.9286 0.9060
I 0.9286 0.9060 0.4323
I 0.4026 0.4026 0.4026
I 0.5974 0.5974 0.5974
I 0.0714 0.0940 0.5677
I 0.5677 0.0714 0.0940
I 0.0940 0.5677 0.0714

---

7.
DFT (PBE-GGA) results for an optimized crystal structure of PmCd2F8.

Summary:
* E: -4.535 eV per atom
* size of the total moment: 1.04 μB/f.u.
* calculated density: 6.292 g cm⁻³
* formation energy without anion corrections: -28.3 eV per formula unit

a = 3.8822 Å, b = 6.0138 Å, c = 6.9003 Å
α = 115.85°, β = 106.34°, γ = 90.00°
Each line ends with the local moment (μB).
Sites, in units of the cell vectors:
F 0.6632 0.8945 0.3265  0.01
F 0.3368 0.5679 0.6736  0.01
F 0.1153 0.1154 0.2307  0.13
F 0.9999 0.3272 0.9997  0.34
F 0.8847 0.8846 0.7693  0.13
F 0.6632 0.4321 0.3264  0.01
F 0.3368 0.1055 0.6735  0.01
F 0.0001 0.6728 0.0003  0.34
Cd 0.1876 0.6876 0.3752  0.00
Cd 0.8124 0.3124 0.6248  0.00
Pm 0.5000 0.0000 0.0000  -0.01

---

8.
DFT (PBE-GGA) results for an optimized crystal structure of B5C7.

Summary:
* polymorph energy (0 for the lowest one): 0.0460 eV per atom
* E_form: 0.304 eV/atom
* E: -7.859 eV per atom
* size of the total moment: 0.08 μB/f.u.
* calculated density: 2.276 g cm⁻³

a = 2.6578 Å, b = 2.6578 Å, c = 16.4705 Å
α = 90.00°, β = 90.00°, γ = 120.00°
Sites, in units of the cell vectors:
B 0.6667 0.3333 0.8719
B 0.3333 0.6667 0.7618
B 0.0000 0.0000 0.2788
B 0.0000 0.0000 0.5233
B 0.6667 0.3333 0.1688
C 0.0000 0.0000 0.9127
C 0.6667 0.3333 0.7717
C 0.6667 0.3333 0.2690
C 0.3333 0.6667 0.5233
C 0.3333 0.6667 0.1280
C 0.0000 0.0000 0.0032
C 0.3333 0.6667 0.0375